1.
First-principles (meta-GGA SCAN) data for a crystal of Cd3PS relaxed with PBEsol, as listed in Alexandria via LeMat-Bulk.

Results
Its mass density is 5.52 g/cm³. Its space group is No. 221. Its final energy is -108.777 eV per cell. The calculation puts the total moment at 0.0 μB per cell.

a = 4.9381 Å, b = 4.9381 Å, c = 4.9381 Å
α = 90.00°, β = 90.00°, γ = 90.00°
Element x y z (fractional)
Cd 0.0000 0.5000 0.0000
Cd 0.5000 0.0000 0.0000
Cd 0.0000 0.0000 0.5000
P 0.5000 0.5000 0.5000
S 0.0000 0.0000 0.0000

2.
First-principles (meta-GGA SCAN) data for a crystal of NbPd3Rh relaxed with PBEsol, as listed in Alexandria via LeMat-Bulk.

Results
Its mass density is 8.54 g/cm³. Its space group is No. 221. The formation energy is 1.344 eV/atom. Its final energy is -158.506 eV per cell. The calculation puts the total moment at 0.8 μB per cell.

a = 4.6433 Å, b = 4.6433 Å, c = 4.6433 Å
α = 90.00°, β = 90.00°, γ = 90.00°
Element x y z (fractional)
Pd 0.0000 0.0000 0.5000
Pd 0.5000 0.0000 0.0000
Pd 0.0000 0.5000 0.0000
Nb 0.5000 0.5000 0.5000
Rh 0.0000 0.0000 0.0000

3.
First-principles (meta-GGA SCAN) data for a crystal of FeAs2W relaxed with PBEsol, as listed in Alexandria via LeMat-Bulk.

Results
Its mass density is 11.17 g/cm³. Its space group is No. 44. The formation energy is 0.214 eV/atom. Its final energy is -127.344 eV per cell. The calculation puts the total moment at 0.0 μB per cell.

a = 3.2508 Å, b = 3.2989 Å, c = 5.8756 Å
α = 106.30°, β = 106.06°, γ = 90.00°
Element x y z (fractional)
W 0.7951 0.2951 0.5901
As 0.1976 0.6976 0.3951
As 0.9704 0.9704 0.9409
Fe 0.5369 0.5369 0.0739